Pr2NdAl7Ag2 | GGA-PBE | relaxed Values from VASP.

Summary:
space group = R-3m (166)

Quantum ESPRESSO input file:
```
&SYSTEM
  ibrav = 0, nat = 12, ntyp = 4
/
ATOMIC_SPECIES
Pr 140.91 Pr.upf
Nd 144.24 Nd.upf
Al 26.98 Al.upf
Ag 107.87 Ag.upf
CELL_PARAMETERS angstrom
2.8365 1.6377 8.9246
-2.8365 1.6377 8.9246
0.0000 -3.2753 8.9246
ATOMIC_POSITIONS crystal
Pr 0.1415 0.1415 0.1415
Pr 0.8585 0.8585 0.8585
Nd 0.0000 0.0000 0.0000
Al 0.0744 0.5864 0.5864
Al 0.4136 0.4136 0.9256
Al 0.4136 0.9256 0.4136
Al 0.5000 0.5000 0.5000
Al 0.5864 0.0744 0.5864
Al 0.5864 0.5864 0.0744
Al 0.9256 0.4136 0.4136
Ag 0.3361 0.3361 0.3361
Ag 0.6639 0.6639 0.6639
```

***

Lu2SbIr | GGA-PBE | relaxed Values from VASP.

Summary:
space group = F-43m (216)

Quantum ESPRESSO input file:
```
&SYSTEM
  ibrav = 0, nat = 16, ntyp = 3
/
ATOMIC_SPECIES
Lu 174.97 Lu.upf
Sb 121.76 Sb.upf
Ir 192.22 Ir.upf
CELL_PARAMETERS angstrom
6.9861 0.0000 0.0000
0.0000 6.9861 0.0000
0.0000 0.0000 6.9861
ATOMIC_POSITIONS crystal
Lu 0.0000 0.0000 0.0000
Lu 0.0000 0.5000 0.5000
Lu 0.2500 0.2500 0.2500
Lu 0.2500 0.7500 0.7500
Lu 0.5000 0.0000 0.5000
Lu 0.5000 0.5000 0.0000
Lu 0.7500 0.2500 0.7500
Lu 0.7500 0.7500 0.2500
Sb 0.0000 0.0000 0.5000
Sb 0.0000 0.5000 0.0000
Sb 0.5000 0.0000 0.0000
Sb 0.5000 0.5000 0.5000
Ir 0.2500 0.2500 0.7500
Ir 0.2500 0.7500 0.2500
Ir 0.7500 0.2500 0.2500
Ir 0.7500 0.7500 0.7500
```

***

Ag5PCl2O4 | GGA-PBE | relaxed Values from VASP.

Summary:
space group = Amm2 (38)

Quantum ESPRESSO input file:
```
&SYSTEM
  ibrav = 0, nat = 12, ntyp = 4
/
ATOMIC_SPECIES
Ag 107.87 Ag.upf
P 30.97 P.upf
Cl 35.45 Cl.upf
O 16.00 O.upf
CELL_PARAMETERS angstrom
6.9820 0.0000 0.0000
0.0000 4.9355 2.9936
0.0000 -4.9355 2.9936
ATOMIC_POSITIONS crystal
Ag 0.0000 0.0000 0.0000
Ag 0.2903 0.1989 0.5810
Ag 0.2903 0.5810 0.1989
Ag 0.7097 0.1989 0.5810
Ag 0.7097 0.5810 0.1989
P 0.5000 0.9977 0.9977
Cl 0.0000 0.4760 0.8129
Cl 0.0000 0.8129 0.4760
O 0.3170 0.1532 0.1532
O 0.5000 0.7192 0.9758
O 0.5000 0.9758 0.7192
O 0.6830 0.1532 0.1532
```

***

UTlIr | GGA-PBE | relaxed Values from VASP.

Summary:
space group = F-43m (216)

Quantum ESPRESSO input file:
```
&SYSTEM
  ibrav = 0, nat = 12, ntyp = 3
/
ATOMIC_SPECIES
U 238.03 U.upf
Tl 204.38 Tl.upf
Ir 192.22 Ir.upf
CELL_PARAMETERS angstrom
6.6538 0.0000 0.0000
0.0000 6.6538 0.0000
0.0000 0.0000 6.6538
ATOMIC_POSITIONS crystal
U 0.0000 0.0000 0.0000
U 0.0000 0.5000 0.5000
U 0.5000 0.0000 0.5000
U 0.5000 0.5000 0.0000
Tl 0.0000 0.0000 0.5000
Tl 0.0000 0.5000 0.0000
Tl 0.5000 0.0000 0.0000
Tl 0.5000 0.5000 0.5000
Ir 0.2500 0.2500 0.7500
Ir 0.2500 0.7500 0.2500
Ir 0.7500 0.2500 0.2500
Ir 0.7500 0.7500 0.7500
```

***

Number 1: calculated total energy -4.305 eV/atom. Number 2: calculated total energy -5.784 eV/atom. Number 3: calculated total energy -4.404 eV/atom. Number 4: calculated total energy -7.458 eV/atom.